VASP calculation (GGA-PBE) on a relaxed structure of Ho8SiSe4S3.

abc: 7.953 8.078 7.953
angles: 119.48 120.00 90.00
Element x y z (fractional)
Si (0.000, 0.500, 0.000)
Ho (0.758, 0.272, 0.014)
S (0.500, 0.500, 0.000)
Ho (0.741, 0.724, 0.482)
Se (0.000, 0.000, 0.000)
Ho (0.242, 0.727, 0.484)
Ho (0.758, 0.273, 0.516)
Se (0.000, 0.000, 0.500)
Se (0.500, 0.000, 0.500)
Se (0.500, 0.000, 0.000)
Ho (0.259, 0.276, 0.518)
S (0.500, 0.500, 0.500)
S (0.000, 0.500, 0.500)
Ho (0.744, 0.728, 0.986)
Ho (0.256, 0.272, 0.014)
Ho (0.242, 0.728, 0.986)

Uncorrected formation energy (eV per atom): -1.75
Crystal system: monoclinic

---

VASP calculation (GGA-PBE) on a relaxed structure of CdIn4BiSe8.

abc: 8.299 8.299 8.347
angles: 60.19 60.19 60.00
Element x y z (fractional)
Se (0.761, 0.761, 0.716)
Bi (0.001, 0.001, 0.997)
In (0.002, 0.496, 0.500)
Se (0.773, 0.249, 0.730)
Se (0.249, 0.773, 0.730)
Se (0.749, 0.228, 0.273)
Cd (0.373, 0.373, 0.880)
Se (0.249, 0.249, 0.730)
In (0.002, 0.002, 0.500)
In (0.628, 0.628, 0.117)
Se (0.228, 0.749, 0.273)
Se (0.240, 0.240, 0.279)
Se (0.749, 0.749, 0.273)
In (0.496, 0.002, 0.500)

Uncorrected formation energy (eV per atom): -0.48
Crystal system: trigonal

---

VASP calculation (GGA-PBE) on a relaxed structure of InOsAu2.

abc: 5.000 5.000 5.000
angles: 130.36 130.36 72.82
Last column: magnetic moment on the atom in μB.
Element x y z (fractional)
In (0.250, 0.750, 0.500)  -0.01
Au (0.500, 0.500, 0.000)  0.03
Au (0.000, 0.000, 0.000)  0.03
Os (0.750, 0.250, 0.500)  0.48

Crystal system: tetragonal
E_form (eV/atom): 0.509

---

VASP calculation (GGA-PBE) on a relaxed structure of PmSm7Ho3.

abc: 6.735 6.548 8.714
angles: 81.10 80.29 95.78
Element x y z (fractional)
Sm (0.000, 0.500, 0.500)
Sm (0.738, 0.985, 0.585)
Sm (0.289, 0.445, 0.141)
Sm (0.777, 0.280, 0.210)
Sm (0.711, 0.555, 0.859)
Sm (0.262, 0.015, 0.415)
Ho (0.934, 0.811, 0.163)
Pm (0.500, 0.500, 0.500)
Ho (0.066, 0.189, 0.837)
Ho (0.500, 0.000, 0.000)
Sm (0.223, 0.720, 0.790)

Energy relative to the lowest polymorph listed for this composition (eV/f.u.): 0.000
Crystal system: triclinic
E_form (eV/atom): 0.133

---

VASP calculation (GGA-PBE) on a relaxed structure of Pa3RuS6.

abc: 7.677 7.677 7.677
angles: 98.85 98.85 98.85
Last column: magnetic moment on the atom in μB.
Element x y z (fractional)
Pa (0.711, 0.372, 0.876)  1.18
S (0.565, 0.813, 0.433)  -0.02
S (0.933, 0.688, 0.026)  -0.03
Pa (0.289, 0.628, 0.124)  1.18
S (0.688, 0.026, 0.933)  -0.03
S (0.567, 0.435, 0.187)  -0.02
S (0.067, 0.312, 0.974)  -0.03
S (0.187, 0.567, 0.435)  -0.02
Ru (0.500, 0.500, 0.500)  1.06
Pa (0.876, 0.711, 0.372)  1.18
Ru (0.000, 0.000, 0.000)  0.30
S (0.026, 0.933, 0.688)  -0.03
S (0.312, 0.974, 0.067)  -0.03
Pa (0.628, 0.124, 0.289)  1.18
S (0.974, 0.067, 0.312)  -0.03
Pa (0.124, 0.289, 0.628)  1.18
S (0.433, 0.565, 0.813)  -0.02
S (0.435, 0.187, 0.567)  -0.02
Pa (0.372, 0.876, 0.711)  1.18
S (0.813, 0.433, 0.565)  -0.02

Uncorrected formation energy (eV per atom): -1.26
Crystal system: trigonal

---

VASP calculation (GGA-PBE) on a relaxed structure of SrFeSi2.

abc: 3.095 3.095 7.087
angles: 90.00 90.00 90.00
Last column: magnetic moment on the atom in μB.
Element x y z (fractional)
Fe (0.500, 0.500, 0.750)  1.17
Sr (0.500, 0.500, 0.250)  -0.01
Si (0.000, 0.000, 0.922)  -0.01
Si (0.000, 0.000, 0.578)  -0.01

Uncorrected formation energy (eV per atom): -0.13
Crystal system: tetragonal

---

VASP calculation (GGA-PBE) on a relaxed structure of Cs2TcI.

abc: 6.629 6.629 6.629
angles: 60.00 60.00 60.00
Last column: magnetic moment on the atom in μB.
Element x y z (fractional)
Tc (0.000, 0.000, 0.000)  3.39
Cs (0.250, 0.250, 0.250)  0.00
Cs (0.750, 0.750, 0.750)  0.00
I (0.500, 0.500, 0.500)  0.01

Uncorrected formation energy (eV per atom): 0.57
Crystal system: cubic

---

VASP calculation (GGA-PBE) on a relaxed structure of TaSeS2.

abc: 6.416 6.416 6.737
angles: 61.56 61.56 90.00
Last column: magnetic moment on the atom in μB.
Element x y z (fractional)
S (0.875, 0.949, 0.750)  0.05
S (0.699, 0.125, 0.250)  0.05
S (0.051, 0.625, 0.250)  0.05
Se (0.500, 0.500, 0.000)  0.49
S (0.375, 0.301, 0.750)  0.05
Ta (0.750, 0.250, 0.500)  -0.04
Ta (0.000, 0.000, 0.000)  -0.04
Se (0.250, 0.750, 0.500)  0.48

Uncorrected formation energy (eV per atom): 0.05
Crystal system: tetragonal

---

VASP calculation (GGA-PBE) on a relaxed structure of Pm2DyTi.

abc: 3.457 3.457 11.279
angles: 81.19 81.19 60.00
Element x y z (fractional)
Dy (0.500, 0.500, 0.500)
Pm (0.742, 0.742, 0.774)
Ti (0.000, 0.000, 0.000)
Pm (0.258, 0.258, 0.226)

Energy relative to the lowest polymorph listed for this composition (eV/f.u.): 0.033
Crystal system: trigonal
E_form (eV/atom): 0.240

---

VASP calculation (GGA-PBE) on a relaxed structure of SiIr2Cl.

abc: 5.381 5.381 6.669
angles: 66.20 66.20 90.00
Element x y z (fractional)
Cl (0.000, 0.000, 0.000)
Ir (0.375, 0.394, 0.750)
Cl (0.750, 0.250, 0.500)
Si (0.500, 0.500, 0.000)
Ir (0.875, 0.856, 0.750)
Ir (0.606, 0.125, 0.250)
Ir (0.144, 0.625, 0.250)
Si (0.250, 0.750, 0.500)

Energy relative to the lowest polymorph listed for this composition (eV/f.u.): 2.832
Uncorrected formation energy (eV per atom): 0.48
Crystal system: tetragonal

---

VASP calculation (GGA-PBE) on a relaxed structure of Li3In2Ni2.

abc: 4.384 4.384 6.941
angles: 90.25 108.20 119.92
Element x y z (fractional)
In (0.163, 0.582, 0.745)
In (0.837, 0.418, 0.255)
Ni (0.569, 0.285, 0.854)
Li (0.707, 0.854, 0.561)
Ni (0.431, 0.715, 0.146)
Li (0.000, 0.000, 0.000)
Li (0.293, 0.146, 0.439)

Crystal system: monoclinic
E_form (eV/atom): -0.199

---

VASP calculation (GGA-PBE) on a relaxed structure of MnFeRhAu.

abc: 4.390 4.390 4.390
angles: 60.00 60.00 60.00
Last column: magnetic moment on the atom in μB.
Element x y z (fractional)
Au (0.000, 0.000, 0.000)  0.10
Fe (0.250, 0.250, 0.250)  3.11
Mn (0.750, 0.750, 0.750)  3.81
Rh (0.500, 0.500, 0.500)  0.83

Crystal system: cubic
E_form (eV/atom): 0.058

---

VASP calculation (GGA-PBE) on a relaxed structure of Nd6Dy12Tm.

abc: 9.982 9.982 9.982
angles: 112.80 112.80 112.80
Element x y z (fractional)
Dy (0.232, 0.909, 0.232)
Dy (0.883, 0.500, 0.117)
Dy (0.500, 0.117, 0.883)
Dy (0.117, 0.500, 0.883)
Nd (0.321, 0.629, 0.321)
Dy (0.500, 0.883, 0.117)
Nd (0.629, 0.321, 0.321)
Nd (0.679, 0.371, 0.679)
Nd (0.321, 0.321, 0.629)
Nd (0.371, 0.679, 0.679)
Dy (0.768, 0.768, 0.091)
Dy (0.883, 0.117, 0.500)
Nd (0.679, 0.679, 0.371)
Dy (0.117, 0.883, 0.500)
Dy (0.091, 0.768, 0.768)
Dy (0.909, 0.232, 0.232)
Dy (0.768, 0.091, 0.768)
Dy (0.232, 0.232, 0.909)
Tm (0.000, 0.000, 0.000)

Energy relative to the lowest polymorph listed for this composition (eV/f.u.): 4.029
Crystal system: trigonal
E_form (eV/atom): 0.338

---

Calculated total moment, 0.000 0.000 0.142 0.000 0.502 0.265 1.000 0.218 0.000 0.000 0.000 2.013 0.000 μB/atom (same order as the records).